one.
An optimized crystal structure of Dy3TmRu2, computed with PBE-GGA.

Unit cell a=9.5381 b=9.5524 c=6.3216 alpha=90.00 beta=90.00 gamma=90.00
Last column: nearest neighbours and their distance in Å.
Space group Cmcm (No. 63)
Unique sites:
Dy: 0.0000 0.0691 0.2500 (multiplicity 4)  4 Ru 2.95
Dy: 0.1820 0.2495 0.7500 (multiplicity 8)  4 Ru 2.94
Tm: 0.0000 0.4332 0.2500 (multiplicity 4)  4 Ru 2.91
Ru: 0.2477 0.5000 0.0000 (multiplicity 8)  2 Tm 2.91, 6 Dy 2.94-2.95, 2 Ru 3.16


two.
An optimized crystal structure of Dy3TmRu2, computed with PBE-GGA.

Unit cell a=6.6814 b=13.4429 c=7.0096 alpha=90.00 beta=90.00 gamma=90.00
Last column: nearest neighbours and their distance in Å.
Space group Ibam (No. 72)
Unique sites:
Dy: 0.0000 0.0000 0.2500 (multiplicity 4)  4 Ru 2.92
Dy: 0.0000 0.2663 0.2500 (multiplicity 8)  4 Ru 2.88-2.90
Tm: 0.0000 0.5000 0.0000 (multiplicity 4)  2 Ru 2.59
Ru: 0.2215 0.1345 0.0000 (multiplicity 8)  1 Tm 2.59, 4 Dy 2.88-2.90


Going by the energies, one is most stable and the next is 10.3 kJ/mol of atoms up.


one.
An optimized crystal structure of DyTmZnRu, computed with PBE-GGA.

Unit cell a=3.4195 b=3.4195 c=7.1943 alpha=90.00 beta=90.00 gamma=90.00
Last column: nearest neighbours and their distance in Å.
Space group P4mm (No. 99)
Unique sites:
Dy: 0.0000 0.0000 0.0000 (multiplicity 1)  4 Ru 2.95, 4 Zn 3.14, 1 Tm 3.30
Tm: 0.0000 0.0000 0.4582 (multiplicity 1)  4 Ru 2.91, 4 Zn 3.08
Zn: 0.5000 0.5000 0.7225 (multiplicity 1)  4 Tm 3.08, 4 Dy 3.14, 4 Zn 3.42
Ru: 0.5000 0.5000 0.2341 (multiplicity 1)  4 Tm 2.91, 4 Dy 2.95


two.
An optimized crystal structure of DyTmZnRu, computed with PBE-GGA.

Unit cell a=6.9012 b=6.9012 c=6.9012 alpha=90.00 beta=90.00 gamma=90.00
Last column: nearest neighbours and their distance in Å.
Space group F-43m (No. 216)
Unique sites:
Dy: 0.0000 0.0000 0.0000 (multiplicity 4)  4 Ru 2.99, 4 Zn 2.99
Tm: 0.0000 0.0000 0.5000 (multiplicity 4)  4 Zn 2.99, 4 Ru 2.99
Zn: 0.2500 0.2500 0.2500 (multiplicity 4)  4 Dy 2.99, 4 Tm 2.99
Ru: 0.2500 0.2500 0.7500 (multiplicity 4)  4 Dy 2.99, 4 Tm 2.99


Going by the energies, one is most stable and the next is 4.4 kJ/mol of atoms up.


one.
An optimized crystal structure of Dy2URu3, computed with PBE-GGA.

Unit cell a=10.9182 b=3.9878 c=6.8184 alpha=90.00 beta=119.13 gamma=90.00
Last column: nearest neighbours and their distance in Å.
Space group Cm (No. 8)
Unique sites:
Dy: 0.0000 0.0000 0.0000 (multiplicity 2)  6 Ru 2.87-3.04
Dy: 0.1685 0.0000 0.6422 (multiplicity 2)  3 Ru 2.87-2.90
U: 0.3197 0.5000 0.3525 (multiplicity 2)  3 Ru 2.33-2.58
Ru: 0.1935 0.5000 0.9622 (multiplicity 2)  1 U 2.33
Ru: 0.4063 0.0000 0.2002 (multiplicity 2)  2 U 2.63, 3 Ru 2.78-2.89, 2 Dy 2.87
Ru: 0.4282 0.0000 0.6236 (multiplicity 2)  2 U 2.58, 2 Ru 2.69-2.78


two.
An optimized crystal structure of Dy2URu3, computed with PBE-GGA.

Unit cell a=13.4131 b=5.5899 c=6.8167 alpha=90.00 beta=105.63 gamma=90.00
Last column: nearest neighbours and their distance in Å.
Space group C2/c (No. 15)
Unique sites:
Dy: 0.2055 0.0022 0.1025 (multiplicity 8)  4 Ru 2.91-3.08
U: 0.0000 0.2339 0.2500 (multiplicity 4)  1 Ru 2.25
Ru: 0.0000 0.1685 0.7500 (multiplicity 4)  1 U 2.25
Ru: 0.1108 0.4920 0.5524 (multiplicity 8)  2 U 2.62-2.73, 3 Ru 2.87-2.90, 2 Dy 2.91-2.93


Going by the energies, two is most stable and the next is 4.1 kJ/mol of atoms up.


one.
An optimized crystal structure of DyURu3, computed with PBE-GGA.

Unit cell a=6.0036 b=11.8048 c=5.4209 alpha=90.00 beta=90.00 gamma=90.00
Last column: nearest neighbours and their distance in Å.
Space group Cmcm (No. 63)
Unique sites:
Dy: 0.0000 0.0873 0.2500 (multiplicity 4)  12 Ru 3.26-3.45, 2 U 3.26, 2 Dy 3.40
U: 0.0000 0.3045 0.7500 (multiplicity 4)  2 Ru 2.34
Ru: 0.0000 0.5000 0.0000 (multiplicity 4)  2 U 2.68, 6 Ru 2.71-2.72
Ru: 0.2340 0.3401 0.2500 (multiplicity 8)  1 U 2.34


two.
An optimized crystal structure of DyURu3, computed with PBE-GGA.

Unit cell a=5.6290 b=5.6291 c=7.2977 alpha=78.36 beta=67.38 gamma=60.03
Last column: nearest neighbours and their distance in Å.
Space group P1 (No. 1)
Unique sites:
Dy: 0.0000 0.0000 0.0000 (multiplicity 1)  7 Ru 2.94-3.24, 3 U 2.99-3.29
Dy: 0.2580 0.3368 0.1470 (multiplicity 1)  7 Ru 2.93-3.26, 3 U 2.98-3.28
U: 0.1046 0.1746 0.5737 (multiplicity 1)  4 Ru 2.45-2.53
U: 0.6259 0.6696 0.0809 (multiplicity 1)  2 Ru 2.41-2.42
Ru: 0.1115 0.8320 0.4005 (multiplicity 1)  2 U 2.49-2.77, 1 Ru 2.67
Ru: 0.1386 0.4865 0.7459 (multiplicity 1)  1 U 2.47, 1 Ru 2.64
Ru: 0.5993 0.5031 0.7465 (multiplicity 1)  1 U 2.45, 1 Ru 2.64
Ru: 0.6088 0.9792 0.7999 (multiplicity 1)  1 U 2.41
Ru: 0.6315 0.8444 0.4010 (multiplicity 1)  2 U 2.53-2.73, 2 Ru 2.67-2.81
Ru: 0.6463 0.3447 0.3551 (multiplicity 1)  1 U 2.42


Going by the energies, one is most stable and the next is 4.6 kJ/mol of atoms up.


one.
An optimized crystal structure of Dy2YRu2, computed with PBE-GGA.

Unit cell a=3.4061 b=20.4082 c=3.3849 alpha=90.00 beta=90.00 gamma=90.00
Last column: nearest neighbours and their distance in Å.
Space group Cmmm (No. 65)
Unique sites:
Dy: 0.0000 0.1652 0.0000 (multiplicity 4)  4 Ru 2.86
Y: 0.0000 0.0000 0.0000 (multiplicity 2)  8 Ru 3.01
Ru: 0.0000 0.4111 0.5000 (multiplicity 4)  4 Dy 2.86, 4 Y 3.01


two.
An optimized crystal structure of Dy2YRu2, computed with PBE-GGA.

Unit cell a=5.4238 b=4.4074 c=10.2853 alpha=90.00 beta=98.23 gamma=90.00
Last column: nearest neighbours and their distance in Å.
Space group P2_1/m (No. 11)
Unique sites:
Dy: 0.1098 0.2500 0.3867 (multiplicity 2)  5 Ru 2.77-2.96
Dy: 0.2479 0.2500 0.0270 (multiplicity 2)  4 Ru 2.85-3.12
Y: 0.4270 0.2500 0.7204 (multiplicity 2)  5 Ru 2.82-3.09
Ru: 0.2459 0.7500 0.8501 (multiplicity 2)  2 Y 2.82, 5 Dy 2.85-3.12
Ru: 0.3656 0.7500 0.5440 (multiplicity 2)  4 Dy 2.77-2.96, 3 Y 2.84-3.09, 2 Ru 2.86


Going by the energies, one is most stable and the next is 8.9 kJ/mol of atoms up.


one.
An optimized crystal structure of Dy4ZnRu2, computed with PBE-GGA.

Unit cell a=4.8564 b=4.8564 c=23.5405 alpha=90.00 beta=90.00 gamma=120.00
Last column: nearest neighbours and their distance in Å.
Space group R-3m (No. 166, hexagonal axes)
Unique sites:
Dy: 0.0000 0.0000 0.1204 (multiplicity 6)  4 Ru 2.92-2.98, 3 Zn 3.01
Dy: 0.0000 0.0000 0.3717 (multiplicity 6)  4 Ru 2.93-3.02, 1 Zn 3.02
Zn: 0.0000 0.0000 0.5000 (multiplicity 3)  8 Dy 3.01-3.02
Ru: 0.0000 0.0000 0.2471 (multiplicity 6)  8 Dy 2.92-3.02


two.
An optimized crystal structure of Dy4ZnRu2, computed with PBE-GGA.

Unit cell a=8.7004 b=8.7004 c=8.5921 alpha=90.00 beta=90.00 gamma=90.00
Last column: nearest neighbours and their distance in Å.
Space group I-42d (No. 122)
Unique sites:
Dy: 0.0687 0.6792 0.4277 (multiplicity 16)  2 Ru 2.74-2.83, 1 Zn 2.92
Zn: 0.0000 0.0000 0.5000 (multiplicity 4)  8 Dy 2.92-3.23
Ru: 0.1400 0.7500 0.1250 (multiplicity 8)  4 Dy 2.74-2.83


Going by the energies, one is most stable and the next is 7.8 kJ/mol of atoms up.